This record from Alexandria describes crystalline CrSN3 at its relaxed geometry. The functional is PBE.

abc: 3.734 3.734 3.734
angles: 90.00 90.00 90.00
Sites, in units of the cell vectors:
Cr: 0.000 0.000 0.000
S: 0.500 0.500 0.500
N: 0.000 0.500 0.000
N: 0.000 0.000 0.500
N: 0.500 0.000 0.000

## Properties
Fermi-level density of states: 3.82 states/eV/f.u.
E_form (uncorrected): 1436 meV per atom
symmetry: Pm-3m
crystal system: cubic

=====

This record from Alexandria describes crystalline ReHgTe2 at its relaxed geometry. The functional is PBE.

abc: 3.503 5.047 4.991
angles: 90.00 90.00 90.00
Sites, in units of the cell vectors:
Hg: 0.500 0.000 0.500
Re: 0.000 0.500 0.500
Te: 0.000 0.000 0.000
Te: 0.500 0.500 0.000

## Properties
Fermi-level density of states: 3.40 states/eV/f.u.
offset from the most stable computed form: 874 meV/atom
E_form (uncorrected): 1097 meV per atom
symmetry: Pmmm
crystal system: orthorhombic

=====

This record from Alexandria describes crystalline LiNdTmTe3 at its relaxed geometry. The functional is PBE.

abc: 4.267 8.920 9.513
angles: 103.76 90.00 90.00
Sites, in units of the cell vectors:
Li: 0.250 0.084 0.585
Li: 0.750 0.916 0.415
Nd: 0.250 0.190 0.235
Nd: 0.750 0.810 0.765
Tm: 0.250 0.671 0.162
Tm: 0.750 0.329 0.838
Te: 0.750 0.906 0.125
Te: 0.250 0.094 0.875
Te: 0.250 0.763 0.496
Te: 0.750 0.237 0.504
Te: 0.750 0.434 0.170
Te: 0.250 0.566 0.830

## Properties
Fermi-level density of states: 2.87 states/eV/f.u.
E_form (uncorrected): -1258 meV per atom
symmetry: P2_1/m
crystal system: monoclinic

=====

This record from Alexandria describes crystalline AcTb4Ho3 at its relaxed geometry. The functional is PBE.

abc: 3.478 8.940 8.940
angles: 82.43 78.78 78.78
Sites, in units of the cell vectors:
Ac: 0.500 0.000 0.000
Tb: 0.635 0.119 0.611
Tb: 0.365 0.881 0.389
Tb: 0.365 0.389 0.881
Tb: 0.635 0.611 0.119
Ho: 0.755 0.245 0.245
Ho: 0.245 0.755 0.755
Ho: 0.000 0.500 0.500

## Properties
Fermi-level density of states: 13.97 states/eV/f.u.
symmetry: Immm
crystal system: orthorhombic
formation energy from the elements: 0.165 eV per atom

=====

Number 1: uncorrected energy -6.31 eV/atom. Number 2: uncorrected energy -3.66 eV/atom. Number 3: uncorrected energy -4.69 eV/atom. Number 4: uncorrected energy -4.38 eV/atom.